First-principles (PBE-GGA) data for AcLa5Tb2Sm after structural relaxation, as listed in Alexandria.

Cell lengths 10.1574, 10.1574, 10.1574 Å; angles 125.81, 125.81, 80.19 degrees
Sites, in units of the cell vectors:
Ac1 0.2500 0.2500 0.0000
Ac2 0.7500 0.7500 0.0000
La1 0.0000 0.0000 0.0000
La2 0.0651 0.5651 0.8907
La3 0.1744 0.0651 0.5000
La4 0.3256 0.8256 0.8907
La5 0.4349 0.3256 0.5000
La6 0.5000 0.5000 0.0000
La7 0.5651 0.6744 0.5000
La8 0.6744 0.1744 0.1093
La9 0.8256 0.9349 0.5000
La10 0.9349 0.4349 0.1093
Tb1 0.1142 0.3858 0.5000
Tb2 0.3858 0.8858 0.2715
Tb3 0.6142 0.1142 0.7285
Tb4 0.8858 0.6142 0.5000
Sm1 0.2500 0.7500 0.5000
Sm2 0.7500 0.2500 0.5000

Output
* energy of formation from the pure elements: 0.2456 eV/atom